1.
Material: ReAgSe
Method: DFT, PBE
State: optimized geometry

Calculated values
SG: P-6m2, No. 187

The structure in POSCAR format:
```
ReAgSe
1.0
-2.5958 -1.2342 3.7144
-0.1816 -2.5463 -3.9423
1.9935 -1.5182 0.8887
Se Re Ag
1 1 1
direct
0.3333 0.6667 0.4995
0.6667 0.3333 0.4999
0.0000 0.0000 0.0006
```

***

2.
Material: ReAgSe2
Method: DFT, PBE
State: optimized geometry

Calculated values
SG: Imm2, No. 44

The structure in POSCAR format:
```
ReAgSe2
1.0
-2.6962 4.8757 4.1600
-5.4946 4.2602 0.0839
3.1419 -6.1840 -0.4832
Re Ag Se
1 1 2
direct
0.2166 0.7166 0.5000
0.4360 0.4360 0.0000
0.0655 0.0655 0.0000
0.7819 0.2819 0.5000
```

***

3.
Material: ReAgSe
Method: DFT, PBE
State: optimized geometry

Calculated values
SG: F-43m, No. 216

The structure in POSCAR format:
```
ReAgSe
1.0
4.3232 0.0000 0.0000
2.1616 3.7440 0.0000
2.1616 1.2480 3.5299
Se Ag Re
1 1 1
direct
0.0000 0.0000 0.0000
0.5000 0.5000 0.5000
0.7500 0.7500 0.7500
```

***

| no. | uncorrected formation energy (eV/atom) | total energy (eV per atom) |
| --- | --- | --- |
| 1 | 0.77 | -5.493 |
| 2 | 0.32 | -5.252 |
| 3 | 0.85 | -5.416 |